First-principles (GGA-PBE) data for Li2Ac2SnPd5 after structural relaxation, as listed in the Alexandria database.

The space group is P4/mbm (No. 127) and the conventional cell measures 9.9870, 9.9870 and 3.8809 Å, with angles of 90.00, 90.00 and 90.00 degrees. The distinct sites, in fractional coordinates, are Li at (0.1176, 0.3824, 0.0000), Ac at (0.1792, 0.6792, 0.0000), Sn at (0.0000, 0.0000, 0.0000), Pd at (0.0000, 0.5000, 0.5000) and Pd at (0.0644, 0.2117, 0.5000).

As for the calculated volume: 19.35 Å³ per atom. As for the total energy: -97.08 eV per cell.